Here is crystalline Na2Sb2Pt3 at its relaxed geometry from OQMD via LeMat-Bulk. Energies are from PBE.

Cell: 7.9724 7.9724 7.9724 Å, 33.69 33.69 33.69°
Sites, in units of the cell vectors:
1 Pt 0.8789 0.8789 0.8789
2 Na 0.2421 0.2421 0.2421
3 Pt 0.3699 0.3699 0.3699
4 Sb 0.5012 0.5012 0.5012
5 Na 0.7557 0.7557 0.7557
6 Pt 0.6263 0.6263 0.6263
7 Sb 0.0010 0.0010 0.0010

## Properties
Raw total energy (Ry/atom): -0.328
Space group: No. 160



Here is crystalline NaSb2Pt2 at its relaxed geometry from OQMD via LeMat-Bulk. Energies are from PBE.

Cell: 4.6513 4.6513 6.5007 Å, 110.96 110.96 90.00°
Sites, in units of the cell vectors:
1 Sb 0.3657 0.3657 0.7315
2 Pt 0.7500 0.2500 0.5000
3 Na 0.0000 0.0000 0.0000
4 Sb 0.6343 0.6343 0.2685
5 Pt 0.2500 0.7500 0.5000

## Properties
Raw total energy (Ry/atom): -0.345
Space group: No. 139



Here is crystalline Na2Sb2Pt at its relaxed geometry from OQMD via LeMat-Bulk. Energies are from PBE.

Cell: 7.8673 7.8673 5.7310 Å, 90.00 90.00 133.24°
Sites, in units of the cell vectors:
1 Pt 0.0000 0.0000 0.5000
2 Na 0.8140 0.1860 0.7500
3 Sb 0.6285 0.8617 0.2500
4 Na 0.5830 0.4170 0.2500
5 Pt 0.0000 0.0000 0.0000
6 Sb 0.8617 0.6285 0.7500
7 Sb 0.3715 0.1383 0.7500
8 Na 0.4170 0.5830 0.7500
9 Na 0.1860 0.8140 0.2500
10 Sb 0.1383 0.3715 0.2500

## Properties
Raw total energy (Ry/atom): -0.279
Space group: No. 63



Here is crystalline Na4SnSbPt2 at its relaxed geometry from OQMD via LeMat-Bulk. Energies are from PBE.

Cell: 4.8072 4.8072 6.8099 Å, 90.00 90.00 90.00°
Sites, in units of the cell vectors:
1 Na 0.0000 0.5000 0.7511
2 Sn 0.5000 0.5000 0.0000
3 Pt 0.0000 0.5000 0.2485
4 Na 0.5000 0.0000 0.2489
5 Na 0.5000 0.5000 0.5000
6 Sb 0.0000 0.0000 0.5000
7 Na 0.0000 0.0000 0.0000
8 Pt 0.5000 0.0000 0.7515

## Properties
Raw total energy (Ry/atom): -0.256
Space group: No. 115



raw total energy of number 1 (Na2Sb2Pt3)? -0.328 Ry/atom



Which formula does entry 4 have? Na4SnSbPt2



Number 3 is which compound? Na2Sb2Pt